Computed, not measured: a relaxed structure of Pm2DyHo6Er3 at the GGA-PBE level of DFT.

It has space group C2/m (No. 12), with a = 6.137 Å, b = 10.618 Å, c = 11.728 Å, α = 90.00°, β = 100.00° and γ = 90.00°. Symmetry generates all atoms from Pm at (0.000, 0.167, 0.000), Dy at (0.000, 0.500, 0.000), Ho at (0.248, 0.500, 0.747), Ho at (0.249, 0.166, 0.747), Er at (0.000, 0.000, 0.500) and Er at (0.000, 0.334, 0.500).

***

Computed, not measured: a relaxed structure of Pm2DyHoEr at the GGA-PBE level of DFT.

It has space group Cmcm (No. 63), with a = 8.405 Å, b = 11.478 Å, c = 7.252 Å, α = 90.00°, β = 90.00° and γ = 90.00°. Symmetry generates all atoms from Pm at (0.193, 0.000, 0.000), Dy at (0.000, 0.225, 0.250), Ho at (0.000, 0.229, 0.750) and Er at (0.000, 0.496, 0.250).

***

Computed, not measured: a relaxed structure of PmDy2Ho4Er at the GGA-PBE level of DFT.

It has space group C2/c (No. 15), with a = 13.528 Å, b = 13.237 Å, c = 6.765 Å, α = 90.00°, β = 120.00° and γ = 90.00°. Symmetry generates all atoms from Pm at (0.250, 0.250, 0.000), Dy at (0.000, 0.000, 0.000), Dy at (0.250, 0.250, 0.500), Ho at (0.000, 0.251, 0.001), Ho at (0.249, 0.499, 0.498) and Er at (0.000, 0.500, 0.000).

***

Computed, not measured: a relaxed structure of PmDyHoEr3 at the GGA-PBE level of DFT.

It has space group C2/m (No. 12), with a = 19.572 Å, b = 5.584 Å, c = 7.013 Å, α = 90.00°, β = 90.07° and γ = 90.00°. Symmetry generates all atoms from Pm at (0.145, 0.000, 0.029), Dy at (0.055, 0.500, 0.271), Ho at (0.151, 0.000, 0.456), Er at (0.023, 0.000, 0.736), Er at (0.164, 0.500, 0.730) and Er at (0.221, 0.500, 0.241).

***

Computed, not measured: a relaxed structure of PrDy5HoEr2 at the GGA-PBE level of DFT.

It has space group Cmc2_1 (No. 36), with a = 5.602 Å, b = 19.824 Å, c = 10.512 Å, α = 90.00°, β = 90.00° and γ = 90.00°. Symmetry generates all atoms from Pr at (0.000, 0.084, 0.000), Dy at (0.000, 0.022, 0.287), Dy at (0.000, 0.113, 0.572), Dy at (0.000, 0.202, 0.259), Dy at (0.000, 0.219, 0.862), Dy at (0.000, 0.482, 0.573), Ho at (0.000, 0.301, 0.562), Er at (0.000, 0.386, 0.868) and Er at (0.000, 0.388, 0.284).

***

Computed, not measured: a relaxed structure of Pr2DyHoEr6 at the GGA-PBE level of DFT.

It has space group C2/c (No. 15), with a = 8.979 Å, b = 14.970 Å, c = 9.681 Å, α = 90.00°, β = 99.30° and γ = 90.00°. Symmetry generates all atoms from Pr at (0.244, 0.052, 0.043), Dy at (0.000, 0.017, 0.750), Ho at (0.000, 0.406, 0.250), Er at (0.067, 0.191, 0.442), Er at (0.101, 0.394, 0.619) and Er at (0.200, 0.223, 0.812).

***

Computed, not measured: a relaxed structure of PrDyHoEr at the GGA-PBE level of DFT.

It has space group Pmm2 (No. 25), with a = 3.442 Å, b = 5.623 Å, c = 6.744 Å, α = 90.00°, β = 90.00° and γ = 90.00°. Symmetry generates all atoms from Pr at (0.000, 0.000, 0.000), Dy at (0.000, 0.500, 0.257), Ho at (0.000, 0.000, 0.517) and Er at (0.500, 0.500, 0.749).

***

Computed, not measured: a relaxed structure of Pr2Dy6Ho3Er at the GGA-PBE level of DFT.

It has space group C2/m (No. 12), with a = 6.172 Å, b = 10.682 Å, c = 11.808 Å, α = 90.00°, β = 99.98° and γ = 90.00°. Symmetry generates all atoms from Pr at (0.000, 0.166, 0.000), Dy at (0.247, 0.500, 0.746), Dy at (0.249, 0.166, 0.747), Ho at (0.000, 0.000, 0.500), Ho at (0.000, 0.334, 0.500) and Er at (0.000, 0.500, 0.000).

***

Computed, not measured: a relaxed structure of Pr2Dy2HoEr2 at the GGA-PBE level of DFT.

It has space group C2/m (No. 12), with a = 11.732 Å, b = 3.519 Å, c = 11.849 Å, α = 90.00°, β = 109.24° and γ = 90.00°. Symmetry generates all atoms from Pr at (0.171, 0.000, 0.085), Dy at (0.049, 0.000, 0.767), Ho at (0.000, 0.500, 0.500) and Er at (0.227, 0.500, 0.366).

***

Computed, not measured: a relaxed structure of Pr4Dy2HoEr2 at the GGA-PBE level of DFT.

It has space group C2/m (No. 12), with a = 15.344 Å, b = 5.105 Å, c = 8.056 Å, α = 90.00°, β = 108.47° and γ = 90.00°. Symmetry generates all atoms from Pr at (0.054, 0.000, 0.330), Pr at (0.223, 0.500, 0.331), Dy at (0.111, 0.500, 0.671), Ho at (0.000, 0.500, 0.000) and Er at (0.167, 0.000, 0.999).

***

Computed, not measured: a relaxed structure of Pr6Dy2Ho3Er at the GGA-PBE level of DFT.

It has space group C2/m (No. 12), with a = 6.295 Å, b = 10.902 Å, c = 11.856 Å, α = 90.00°, β = 100.17° and γ = 90.00°. Symmetry generates all atoms from Pr at (0.249, 0.000, 0.250), Pr at (0.250, 0.167, 0.750), Dy at (0.000, 0.333, 0.500), Ho at (0.000, 0.167, 0.000), Ho at (0.000, 0.500, 0.000) and Er at (0.000, 0.000, 0.500).

***

Computed, not measured: a relaxed structure of Pr5DyHo2Er at the GGA-PBE level of DFT.

It has space group Cmc2_1 (No. 36), with a = 5.653 Å, b = 20.591 Å, c = 10.751 Å, α = 90.00°, β = 90.00° and γ = 90.00°. Symmetry generates all atoms from Pr at (0.000, 0.015, 0.000), Pr at (0.000, 0.117, 0.275), Pr at (0.000, 0.204, 0.961), Pr at (0.000, 0.221, 0.568), Pr at (0.000, 0.485, 0.270), Dy at (0.000, 0.302, 0.265), Ho at (0.000, 0.386, 0.559), Ho at (0.000, 0.387, 0.995) and Er at (0.000, 0.094, 0.721).

***

Computed, not measured: a relaxed structure of Pr2Dy2Ho4Er at the GGA-PBE level of DFT.

It has space group P-1 (No. 2), with a = 6.175 Å, b = 6.177 Å, c = 7.978 Å, α = 82.56°, β = 75.07° and γ = 80.37°. Symmetry generates all atoms from Pr at (0.167, 0.332, 0.331), Dy at (0.391, 0.777, 0.444), Ho at (0.057, 0.111, 0.781), Ho at (0.277, 0.555, 0.890) and Er at (0.500, 0.000, 0.000).

***

Computed, not measured: a relaxed structure of PrDy2Ho3Er6 at the GGA-PBE level of DFT.

It has space group C2/m (No. 12), with a = 6.121 Å, b = 10.590 Å, c = 11.697 Å, α = 90.00°, β = 100.00° and γ = 90.00°. Symmetry generates all atoms from Pr at (0.000, 0.000, 0.000), Dy at (0.000, 0.333, 0.000), Ho at (0.000, 0.167, 0.500), Ho at (0.000, 0.500, 0.500), Er at (0.248, 0.333, 0.748) and Er at (0.250, 0.000, 0.748).

***

Computed, not measured: a relaxed structure of Pr2DyHo5Er at the GGA-PBE level of DFT.

It has space group I4/mcm (No. 140), with a = 8.591 Å, b = 8.591 Å, c = 15.792 Å, α = 90.00°, β = 90.00° and γ = 90.00°. Symmetry generates all atoms from Pr at (0.119, 0.381, 0.000), Dy at (0.000, 0.000, 0.250), Ho at (0.000, 0.000, 0.000), Ho at (0.214, 0.286, 0.358) and Er at (0.000, 0.500, 0.250).

***

Computed, not measured: a relaxed structure of Pr2Dy4HoEr2 at the GGA-PBE level of DFT.

It has space group P-1 (No. 2), with a = 6.006 Å, b = 6.609 Å, c = 8.560 Å, α = 79.89°, β = 70.59° and γ = 65.75°. Symmetry generates all atoms from Pr at (0.229, 0.325, 0.341), Dy at (0.114, 0.125, 0.765), Dy at (0.244, 0.572, 0.886), Ho at (0.500, 0.000, 0.000) and Er at (0.325, 0.769, 0.445).

***

Computed, not measured: a relaxed structure of Pr2DyHo6Er at the GGA-PBE level of DFT.

It has space group C2/c (No. 15), with a = 9.001 Å, b = 15.006 Å, c = 9.701 Å, α = 90.00°, β = 99.21° and γ = 90.00°. Symmetry generates all atoms from Pr at (0.245, 0.052, 0.042), Dy at (0.000, 0.017, 0.750), Ho at (0.066, 0.191, 0.443), Ho at (0.101, 0.395, 0.619), Ho at (0.201, 0.223, 0.812) and Er at (0.000, 0.406, 0.250).

***

Computed, not measured: a relaxed structure of Pr3Dy2Ho6Er at the GGA-PBE level of DFT.

It has space group C2/m (No. 12), with a = 6.199 Å, b = 10.731 Å, c = 11.797 Å, α = 90.00°, β = 100.05° and γ = 90.00°. Symmetry generates all atoms from Pr at (0.000, 0.000, 0.000), Pr at (0.000, 0.333, 0.000), Dy at (0.000, 0.167, 0.500), Ho at (0.248, 0.333, 0.745), Ho at (0.249, 0.000, 0.745) and Er at (0.000, 0.500, 0.500).

***

Computed, not measured: a relaxed structure of Pr2DyHo4Er at the GGA-PBE level of DFT.

It has space group Imma (No. 74), with a = 6.812 Å, b = 11.823 Å, c = 13.258 Å, α = 90.00°, β = 90.00° and γ = 90.00°. Symmetry generates all atoms from Pr at (0.000, 0.000, 0.000), Pr at (0.250, 0.250, 0.250), Dy at (0.250, 0.250, 0.750), Ho at (0.000, 0.004, 0.747), Ho at (0.248, 0.250, 0.504) and Er at (0.000, 0.000, 0.500).

***

Computed, not measured: a relaxed structure of Pr6DyHo3Er2 at the GGA-PBE level of DFT.

It has space group C2/m (No. 12), with a = 6.292 Å, b = 10.895 Å, c = 11.840 Å, α = 90.00°, β = 100.17° and γ = 90.00°. Symmetry generates all atoms from Pr at (0.250, 0.000, 0.250), Pr at (0.250, 0.167, 0.750), Dy at (0.000, 0.000, 0.500), Ho at (0.000, 0.167, 0.000), Ho at (0.000, 0.500, 0.000) and Er at (0.000, 0.333, 0.500).

***

DFT total energy for the records above, in order: -4.586, -4.230, -4.161, -4.389, -4.447, -4.493, -4.440, -4.604, -4.553, -4.645, -4.670, -4.550, -4.606, -4.570, -4.350, -4.543, -4.502, -4.610, -4.206, -4.666 eV/atom
Formation enthalpy at 0 K for the records above, in order: 0.23, 2.10, 3.54, 1.28, 1.47, 1.19, 0.76, 0.22, 0.60, 0.22, 0.14, 1.26, 0.18, 0.25, 2.47, 0.79, 1.18, 0.25, 3.39, 0.15 eV/f.u.
DOS(E_F) for the records above, in order: 1.325, 1.502, 2.127, 1.528, 1.627, 1.342, 1.978, 1.283, 1.611, 1.547, 1.065, 1.583, 1.315, 1.315, 1.308, 1.494, 1.348, 1.311, 2.307, 1.047 states/eV per atom